First-principles (PBE) data for a relaxed structure of CuIrW2, as listed in Alexandria.

Cell lengths 4.787, 4.787, 4.787 Å; angles 131.97, 131.97, 70.28 degrees
Atoms (fractional coordinates):
W1 0.000 0.000 0.000
W2 0.250 0.750 0.500
Cu1 0.500 0.500 0.000
Ir1 0.750 0.250 0.500

Results
Energy relative to the elements: 0.1824 eV per atom
Size of the total moment: 0.000 μB/atom
Energy above the lowest structure with this stoichiometry: 152 meV per atom
Electronic total energy: -9.53 eV/atom
V: 14.86 A^3/atom